1.
A plane-wave DFT calculation with PBE was carried out for an optimized crystal structure of Y2ErSc3NiTe2.

Calculated values
Mass density, g/cm3: 6.1
Space-group type: Amm2 (38)

Lattice parameters (Å, degrees): 3.921 7.977 7.977 120.20 90.00 90.00
Fractional coordinates of all 9 atoms:
Y  0.000  0.197  0.803
Y  0.000  0.803  0.197
Er  0.000  0.588  0.588
Sc  0.500  0.197  0.427
Sc  0.500  0.427  0.197
Sc  0.500  0.965  0.965
Ni  0.000  0.201  0.201
Te  0.500  0.530  0.862
Te  0.500  0.862  0.530


2.
A plane-wave DFT calculation with PBE was carried out for an optimized crystal structure of ErTm6Ni2Se2.

Calculated values
Mass density, g/cm3: 9.4
Space-group type: Imm2 (44)

Lattice parameters (Å, degrees): 8.960 8.960 8.960 155.83 67.27 118.30
Fractional coordinates of all 11 atoms:
Er  0.000  0.000  0.000
Tm  0.068  0.383  0.685
Tm  0.100  0.740  0.360
Tm  0.381  0.740  0.640
Tm  0.462  0.588  0.874
Tm  0.698  0.383  0.315
Tm  0.714  0.588  0.126
Ni  0.316  0.078  0.239
Ni  0.839  0.078  0.761
Se  0.341  0.341  0.000
Se  0.742  0.242  0.500


3.
A plane-wave DFT calculation with PBE was carried out for an optimized crystal structure of Er6TmNi2Se2.

Calculated values
Mass density, g/cm3: 9.2
Space-group type: Imm2 (44)

Lattice parameters (Å, degrees): 8.995 8.995 8.995 155.87 67.43 118.11
Fractional coordinates of all 11 atoms:
Er  0.112  0.796  0.316
Er  0.126  0.000  0.126
Er  0.479  0.796  0.684
Er  0.513  0.153  0.360
Er  0.793  0.153  0.640
Er  0.874  0.000  0.874
Tm  0.414  0.414  0.000
Ni  0.252  0.490  0.762
Ni  0.728  0.490  0.238
Se  0.155  0.655  0.500
Se  0.753  0.753  0.000


Computed calculated total energy (eV per atom) in order:
-6.11 -5.32 -5.36